First-principles (PBE-GGA) data for crystalline AlReSb2 at its relaxed geometry, as listed in Alexandria. Values from VASP.

Geometry as Quantum ESPRESSO input:
```
&SYSTEM
  ibrav = 0, nat = 4, ntyp = 3
/
ATOMIC_SPECIES
Al 26.98 Al.upf
Re 186.21 Re.upf
Sb 121.76 Sb.upf
CELL_PARAMETERS angstrom
3.286 0.000 0.000
0.000 3.286 0.000
0.000 0.000 7.975
ATOMIC_POSITIONS crystal
Al 0.000 0.000 0.000
Re 0.500 0.500 0.146
Sb 0.000 0.000 0.363
Sb 0.500 0.500 0.772
```

Computed properties:
Uncorrected energy in eV/atom: -6.0064
ΔE_f (raw) in eV/atom: 0.102
DOS at the Fermi energy in states/eV/atom: 0.378